No. 1
10
Lattice="3.583 0.000 0.000 0.000 6.679 0.000 -1.715 0.000 8.550" Properties=species:S:1:pos:R:3 comment="LiVSe3 | the Alexandria database | PBE-GGA | relaxed" space_group="P2_1/m, No. 11" formation_energy_uncorrected_mev_per_atom=-570 m_tot_mub_per_fu=0.91 e_above_lowest_polymorph_ev_per_atom=0.1728 pbc="T T T"
Li -0.051 1.670 0.853
Li 1.918 5.010 7.696
V 0.037 1.670 5.072
V 1.831 5.010 3.478
Se 0.040 0.108 2.999
Se 0.040 3.232 2.999
Se 0.031 1.670 7.605
Se 1.837 5.010 0.945
Se 1.828 3.447 5.551
Se 1.828 6.572 5.551

=====

No. 2
8
Lattice="-3.160 3.160 6.441 3.160 -3.160 6.441 3.160 3.160 -6.441" Properties=species:S:1:pos:R:3 comment="AlTcBi2 | the Alexandria database | PBE-GGA | relaxed" space_group="I-42d, No. 122" m_tot_mub_per_fu=0.00 delta_e_f_ev_per_atom=0.78 pbc="T T T"
Al 0.000 0.000 0.000
Al 0.000 3.160 3.221
Tc 3.160 0.000 3.221
Tc 0.000 0.000 6.441
Bi 1.580 -1.422 4.831
Bi 1.738 1.580 1.610
Bi 1.580 4.583 -1.610
Bi 1.422 1.580 8.051

=====

No. 3
10
Lattice="7.388 0.000 0.000 0.000 7.388 0.000 0.000 0.000 4.155" Properties=species:S:1:pos:R:3 comment="ErTm2Si2 | the Alexandria database | PBE-GGA | relaxed" space_group="P4/mbm, No. 127" formation_energy_uncorrected_mev_per_atom=-697 m_tot_mub_per_fu=0.00 e_above_lowest_polymorph_ev_per_atom=0.0000 pbc="T T T"
Er 0.000 0.000 0.000
Er 3.694 3.694 0.000
Tm 1.298 2.396 2.077
Tm 2.396 6.090 2.077
Tm 4.992 1.298 2.077
Tm 6.090 4.992 2.077
Si 0.871 4.565 0.000
Si 2.824 0.871 0.000
Si 4.565 6.518 0.000
Si 6.518 2.824 0.000

=====

No. 4
4
Lattice="3.399 0.000 0.000 0.000 5.281 0.000 0.000 0.000 5.342" Properties=species:S:1:pos:R:3 comment="La2TaZn | the Alexandria database | PBE-GGA | relaxed" space_group="Pmmm, No. 47" m_tot_mub_per_fu=0.00 delta_e_f_ev_per_atom=0.47 pbc="T T T"
La 0.000 0.000 0.000
La 1.699 0.000 2.671
Ta 0.000 2.640 2.671
Zn 1.699 2.640 0.000

=====

No. 5
18
Lattice="3.776 2.180 10.614 -3.776 2.180 10.614 0.000 -4.360 10.614" Properties=species:S:1:pos:R:3 comment="Rb2Mg3Cd12Ag | the Alexandria database | PBE-GGA | relaxed" space_group="R-3m, No. 166" m_tot_mub_per_fu=0.00 delta_e_f_ev_per_atom=0.03 pbc="T T T"
Rb 0.000 0.000 4.916
Rb 0.000 0.000 26.927
Mg -1.888 -1.090 10.614
Mg -1.888 1.090 21.229
Mg 0.000 2.180 10.614
Cd 0.000 -2.650 9.051
Cd -2.295 1.325 9.051
Cd -1.533 -0.885 13.618
Cd -2.295 -1.325 22.792
Cd 0.000 -1.770 18.225
Cd -1.533 0.885 18.225
Cd 1.533 -0.885 13.618
Cd 0.000 1.770 13.618
Cd 2.295 1.325 9.051
Cd 1.533 0.885 18.225
Cd 2.295 -1.325 22.792
Cd 0.000 2.650 22.792
Ag 0.000 0.000 15.922

=====

No. 6
4
Lattice="4.313 0.000 0.000 0.000 4.313 0.000 0.000 0.000 3.909" Properties=species:S:1:pos:R:3 comment="ScCu2Pb | the Alexandria database | PBE-GGA | relaxed" space_group="P4/mmm, No. 123" m_tot_mub_per_fu=0.00 delta_e_f_ev_per_atom=-0.07 pbc="T T T"
Sc 0.000 0.000 0.000
Cu 0.000 2.157 1.954
Cu 2.157 0.000 1.954
Pb 2.157 2.157 0.000